This record from Alexandria via LeMat-Bulk describes a geometry-optimized ZnCrBiI2 structure. The functional is GGA-PBE.

```
data_ZnCrBiI2
_chemical_formula_sum 'Zn1 Cr1 Bi1 I2'
_space_group_name_H-M_alt 'P 4/m m m'
_space_group_IT_number 123
_space_group_name_Hall '-P 4 2'
_cell_length_a 5.589
_cell_length_b 5.589
_cell_length_c 5.472
_cell_angle_alpha 90.00
_cell_angle_beta 90.00
_cell_angle_gamma 90.00
loop_
_atom_site_label
_atom_site_fract_x
_atom_site_fract_y
_atom_site_fract_z
_atom_site_occupancy
Zn1 0.000 0.000 0.000 1
Cr1 0.500 0.500 0.500 1
Bi1 0.000 0.000 0.500 1
I1 0.000 0.500 0.000 1
```


This record from Alexandria via LeMat-Bulk describes a geometry-optimized Zr2CrBiI structure. The functional is GGA-PBE.

```
data_Zr2CrBiI
_chemical_formula_sum 'Zr2 Cr1 Bi1 I1'
_space_group_name_H-M_alt 'P 4/m m m'
_space_group_IT_number 123
_space_group_name_Hall '-P 4 2'
_cell_length_a 5.095
_cell_length_b 5.095
_cell_length_c 4.959
_cell_angle_alpha 90.00
_cell_angle_beta 90.00
_cell_angle_gamma 90.00
loop_
_atom_site_label
_atom_site_fract_x
_atom_site_fract_y
_atom_site_fract_z
_atom_site_occupancy
Zr1 0.000 0.500 0.000 1
Cr1 0.000 0.000 0.000 1
Bi1 0.000 0.000 0.500 1
I1 0.500 0.500 0.500 1
```


Quick rundown of raw formation energy, same order as above: 3.2, 2.3 eV/f.u.
Quick rundown of total moment, same order as above: 4.08, 0.00 μB/f.u.